First-principles (GGA-PBE) data for crystalline CrW3 at its relaxed geometry, as listed in Alexandria.

Cell: 8.8116 8.8116 2.7165 Å, 90.00 90.00 120.00°
Space group R-3m (No. 166, hexagonal axes)
Asymmetric unit:
1 Cr 0.0000 0.0000 0.0000
2 W 0.0000 0.5000 0.0000

ρ (g/cm3): 16.46
Total moment (μB per cell): 0.0
Crystal system: trigonal
Raw total energy (eV for the cell shown): -144.57
Energy relative to the elements (eV per atom): 0.07